No. 1
Pr2CoSi3Pt12: relaxed, PBE. Values from VASP.

**Formation energy from raw total energies**: -0.427 eV per atom

```
&SYSTEM
  ibrav = 0, nat = 18, ntyp = 4
/
ATOMIC_SPECIES
Pt 195.08 Pt.upf
Co 58.93 Co.upf
Pr 140.91 Pr.upf
Si 28.09 Si.upf
ATOMIC_POSITIONS crystal
Pt 0.357 0.357 0.894
Pt 0.357 0.894 0.357
Pt 0.878 0.368 0.878
Pt 0.632 0.122 0.122
Pt 0.122 0.122 0.632
Pt 0.106 0.643 0.643
Pt 0.878 0.878 0.368
Pt 0.368 0.878 0.878
Pt 0.122 0.632 0.122
Pt 0.643 0.106 0.643
Pt 0.894 0.357 0.357
Pt 0.643 0.643 0.106
Co 0.000 0.000 0.000
Pr 0.381 0.381 0.381
Pr 0.619 0.619 0.619
Si 0.500 0.000 0.000
Si 0.000 0.000 0.500
Si 0.000 0.500 0.000
CELL_PARAMETERS angstrom
7.772 -0.196 -0.139
3.667 6.855 -0.139
3.667 2.135 6.516
```

No. 2
NaCu3Si: relaxed, PBE. Values from VASP.

**Formation energy from raw total energies**: 0.057 eV per atom

```
&SYSTEM
  ibrav = 0, nat = 10, ntyp = 3
/
ATOMIC_SPECIES
Na 22.99 Na.upf
Si 28.09 Si.upf
Cu 63.55 Cu.upf
ATOMIC_POSITIONS crystal
Na 0.250 0.668 0.832
Na 0.750 0.332 0.168
Si 0.000 0.500 0.500
Si 0.500 0.000 0.000
Cu 0.250 0.146 0.354
Cu 0.205 0.795 0.295
Cu 0.295 0.205 0.705
Cu 0.795 0.205 0.705
Cu 0.705 0.795 0.295
Cu 0.750 0.854 0.646
CELL_PARAMETERS angstrom
-4.440 -2.726 -1.304
1.014 -5.514 -2.984
-1.451 -4.795 3.903
```

No. 3
BaTe3: relaxed, PBE. Values from VASP.

**Formation energy from raw total energies**: -0.493 eV per atom

```
&SYSTEM
  ibrav = 0, nat = 4, ntyp = 2
/
ATOMIC_SPECIES
Te 127.60 Te.upf
Ba 137.33 Ba.upf
ATOMIC_POSITIONS crystal
Te 0.500 0.500 0.731
Te 0.000 0.000 0.500
Te 0.500 0.500 0.269
Ba 0.000 0.000 0.000
CELL_PARAMETERS angstrom
4.273 0.040 0.000
1.203 4.100 0.000
0.000 0.000 8.196
```